Compound: MgCuNiSb
Source: Alexandria
Functional: PBE
Structure: optimized geometry

Total moment in Bohr magnetons per cell: 0.0
Formation energy without anion corrections in eV per atom: -0.0841
V in Å³/atom: 15.893
Fermi-level density of states in states/eV/atom: 0.274

Unit cell a=6.3354 b=6.3354 c=6.3354 alpha=90.00 beta=90.00 gamma=90.00
Fractional coordinates of all 16 atoms:
Mg 0.0000 0.0000 0.0000
Mg 0.0000 0.5000 0.5000
Mg 0.5000 0.0000 0.5000
Mg 0.5000 0.5000 0.0000
Cu 0.2500 0.2500 0.2500
Cu 0.2500 0.7500 0.7500
Cu 0.7500 0.2500 0.7500
Cu 0.7500 0.7500 0.2500
Ni 0.2500 0.2500 0.7500
Ni 0.2500 0.7500 0.2500
Ni 0.7500 0.2500 0.2500
Ni 0.7500 0.7500 0.7500
Sb 0.0000 0.0000 0.5000
Sb 0.0000 0.5000 0.0000
Sb 0.5000 0.0000 0.0000
Sb 0.5000 0.5000 0.5000


Compound: La6In2Ir
Source: Alexandria
Functional: PBE
Structure: optimized geometry

Total moment in Bohr magnetons per cell: 0.0
V in Å³/atom: 31.465
Formation energy in eV/atom: -0.451
Fermi-level density of states in states/eV/atom: 1.302

Unit cell a=9.0812 b=9.0812 c=3.9650 alpha=90.00 beta=90.00 gamma=120.00
Fractional coordinates of all 9 atoms:
La 0.0000 0.3972 0.0000
La 0.0000 0.7609 0.5000
La 0.2391 0.2391 0.5000
La 0.3972 0.0000 0.0000
La 0.6028 0.6028 0.0000
La 0.7609 0.0000 0.5000
In 0.3333 0.6667 0.5000
In 0.6667 0.3333 0.5000
Ir 0.0000 0.0000 0.0000


Compound: Zn2CuP
Source: Alexandria
Functional: PBE
Structure: optimized geometry

Total moment in Bohr magnetons per cell: 0.0
V in Å³/atom: 14.636
Formation energy in eV/atom: 0.145
Fermi-level density of states in states/eV/atom: 0.292

Unit cell a=2.8017 b=4.8571 c=4.3207 alpha=90.00 beta=95.30 gamma=90.00
Fractional coordinates of all 4 atoms:
Zn 0.2327 0.0000 0.2542
Zn 0.7673 0.0000 0.7458
Cu 0.5000 0.5000 0.5000
P 0.0000 0.5000 0.0000


Copy entry 3 word for word.
Compound: Zn2CuP
Source: Alexandria
Functional: PBE
Structure: optimized geometry

Total moment in Bohr magnetons per cell: 0.0
V in Å³/atom: 14.636
Formation energy in eV/atom: 0.145
Fermi-level density of states in states/eV/atom: 0.292

Unit cell a=2.8017 b=4.8571 c=4.3207 alpha=90.00 beta=95.30 gamma=90.00
Fractional coordinates of all 4 atoms:
Zn 0.2327 0.0000 0.2542
Zn 0.7673 0.0000 0.7458
Cu 0.5000 0.5000 0.5000
P 0.0000 0.5000 0.0000